Computed, not measured: an optimized crystal structure of ScRe2As at the PBE level of DFT.

Computed properties:
The space group is No. 10. For the density of states at the Fermi level, the calculation gives 3.452 states/eV per cell. The value obtained for the formation energy is 0.23 eV per formula unit.

Cell: 4.7065 2.9594 4.7593 Å, 89.58 90.00 90.00°
Fractional positions:
As: 0.5000 0.7500 0.7500
Re: 0.0000 0.5862 0.4955
Sc: 0.5000 0.2500 0.2500
Re: 0.0000 0.9138 0.0045